The following is a DFT calculation (PBE) of an optimized crystal structure of Nd2Ho5Th2.

Unit cell a=22.4379 b=3.4792 c=8.0827 alpha=90.00 beta=99.04 gamma=90.00
With the nearest neighbours (Å) after each atom.
Space group C2/m (No. 12)
One atom of each set of equivalent atoms:
Nd 0.1763 0.0000 0.1478  2 Nd 3.48, 4 Ho 3.55-3.63, 2 Th 3.88
Ho 0.0000 0.0000 0.0000  4 Ho 3.22-3.48, 4 Th 3.39
Ho 0.0908 0.0000 0.7279  5 Ho 3.22-3.48, 2 Th 3.48
Ho 0.1922 0.5000 0.5447  1 Th 3.28, 6 Ho 3.30-3.48, 3 Nd 3.55-3.62
Th 0.0519 0.5000 0.3532  7 Ho 3.28-3.61, 3 Th 3.48-3.58

Results
ΔE_f   0.25 eV per atom
Calculated total energy   -0.184 Ha/atom
Calculated density   8.41 g cm⁻³



The following is a DFT calculation (PBE) of an optimized crystal structure of Zr2Mn2Pd.

Unit cell a=6.5206 b=6.5206 c=3.9379 alpha=90.00 beta=90.00 gamma=90.00
With the nearest neighbours (Å) after each atom.
Space group P4/mbm (No. 127)
One atom of each set of equivalent atoms:
Zr 0.1838 0.3162 0.0000  6 Mn 2.74-2.79
Mn 0.1091 0.6091 0.5000  1 Mn 2.01
Pd 0.0000 0.0000 0.5000  4 Mn 2.65

Results
ΔE_f   -0.17 eV per atom
Calculated total energy   -0.305 Ha/atom
Calculated density   7.91 g cm⁻³



The following is a DFT calculation (PBE) of an optimized crystal structure of KLiHg2.

Unit cell a=8.4371 b=4.8803 c=6.7394 alpha=90.00 beta=114.89 gamma=90.00
With the nearest neighbours (Å) after each atom.
Space group Cm (No. 8)
One atom of each set of equivalent atoms:
K 0.0000 0.0000 0.0000  1 Li 3.42, 7 Hg 3.62-3.79
Li 0.1866 0.0000 0.5589  6 Hg 2.82-2.96
Hg 0.0294 0.5000 0.5865  3 Li 2.82, 3 Hg 3.02
Hg 0.3025 0.5000 0.4077  3 Li 2.96, 3 Hg 3.02

Results
ΔE_f   -0.23 eV per atom
Calculated total energy   -0.041 Ha/atom
Calculated density   5.90 g cm⁻³



The following is a DFT calculation (PBE) of an optimized crystal structure of RbSnF3.

Unit cell a=8.3950 b=13.8892 c=15.2158 alpha=90.00 beta=97.54 gamma=90.00
With the nearest neighbours (Å) after each atom.
Space group P2_1/c (No. 14)
One atom of each set of equivalent atoms:
Rb 0.0032 0.2356 0.2542  7 F 2.84-3.02
Rb 0.0735 0.0129 0.6304  8 F 2.88-3.10
Rb 0.4363 0.0230 0.3704  9 F 2.91-3.19
Rb 0.4930 0.7338 0.7408  7 F 2.79-3.02
Sn 0.1823 0.5087 0.6401  4 F 2.10-2.29
Sn 0.2399 0.2452 0.5041  3 F 2.08-2.25
Sn 0.2649 0.7293 0.9843  3 F 2.06-2.25
Sn 0.3165 0.5067 0.3651  4 F 2.09-2.29
F 0.0176 0.2063 0.5644  2 Sn 2.25-2.41
F 0.0550 0.5507 0.3239  2 Sn 2.29
F 0.1625 0.1382 0.4130  1 Sn 2.08
F 0.1822 0.5817 0.7615  1 Sn 2.11
F 0.1947 0.7430 0.6063  1 Sn 2.06
F 0.2340 0.1165 0.7946  1 Sn 2.09
F 0.2605 0.5811 0.0030  1 Sn 2.08
F 0.2667 0.1176 0.2066  1 Sn 2.10
F 0.3271 0.5858 0.2489  1 Sn 2.09
F 0.3525 0.1464 0.5948  1 Sn 2.08
F 0.4475 0.5484 0.6719  2 Sn 2.26-2.28
F 0.4867 0.2179 0.4405  2 Sn 2.25-2.43

Results
Energy relative to the elements, uncorrected   -2.54 eV/atom
Calculated total energy   -0.171 Ha/atom
Calculated density   3.95 g cm⁻³



The following is a DFT calculation (PBE) of an optimized crystal structure of YHo2ErSc.

Unit cell a=8.1034 b=11.1687 c=7.0531 alpha=90.00 beta=90.00 gamma=90.00
With the nearest neighbours (Å) after each atom.
Space group Cmcm (No. 63)
One atom of each set of equivalent atoms:
Y 0.0000 0.2367 0.2500  1 Sc 3.04
Ho 0.1976 0.0000 0.0000  2 Sc 3.02, 1 Ho 3.20
Er 0.0000 0.2242 0.7500  1 Sc 2.98
Sc 0.0000 0.4912 0.7500  1 Er 2.98, 4 Ho 3.02, 1 Y 3.04

Results
ΔE_f   0.35 eV per atom
Calculated total energy   -0.182 Ha/atom
Calculated density   6.57 g cm⁻³



The following is a DFT calculation (PBE) of an optimized crystal structure of CoTc2HgB.

Unit cell a=4.5740 b=4.5740 c=3.7003 alpha=90.00 beta=90.00 gamma=90.00
With the nearest neighbours (Å) after each atom.
Space group P4/mmm (No. 123)
One atom of each set of equivalent atoms:
Co 0.0000 0.0000 0.0000  2 B 1.85
Tc 0.0000 0.5000 0.0000  2 Co 2.29
Hg 0.5000 0.5000 0.5000  8 Tc 2.94, 4 B 3.23
B 0.0000 0.0000 0.5000  2 Co 1.85

Results
ΔE_f   1.19 eV per atom
Calculated total energy   -0.212 Ha/atom
Calculated density   10.00 g cm⁻³



The following is a DFT calculation (PBE) of an optimized crystal structure of Rb4SmTm3Te8.

Unit cell a=9.0274 b=9.0274 c=25.6459 alpha=90.00 beta=90.00 gamma=120.00
With the nearest neighbours (Å) after each atom.
Space group R-3m (No. 166, hexagonal axes)
One atom of each set of equivalent atoms:
Rb 0.0000 0.0000 0.0000  6 Te 3.62
Rb 0.0000 0.5000 0.0000  6 Te 3.68
Sm 0.0000 0.0000 0.5000  6 Te 3.16
Tm 0.0000 0.5000 0.5000  6 Te 3.09-3.10
Te 0.0000 0.0000 0.2320  3 Tm 3.10
Te 0.0067 0.5033 0.7669  2 Tm 3.09, 1 Sm 3.16

Results
Energy relative to the elements, uncorrected   -1.37 eV/atom
Calculated total energy   -0.158 Ha/atom
Calculated density   5.56 g cm⁻³



The following is a DFT calculation (PBE) of an optimized crystal structure of LiPt3Cl.

Unit cell a=4.5727 b=4.5727 c=4.5727 alpha=90.00 beta=90.00 gamma=90.00
With the nearest neighbours (Å) after each atom.
Space group Pm-3m (No. 221)
One atom of each set of equivalent atoms:
Li 0.0000 0.0000 0.0000  12 Pt 3.23
Pt 0.0000 0.5000 0.5000  2 Cl 2.29
Cl 0.5000 0.5000 0.5000  6 Pt 2.29

Results
Energy relative to the elements, uncorrected   0.67 eV/atom
Calculated total energy   -0.136 Ha/atom
Calculated density   10.90 g cm⁻³



The following is a DFT calculation (PBE) of an optimized crystal structure of ScCrMo2.

Unit cell a=2.7982 b=4.3403 c=5.2935 alpha=90.00 beta=100.41 gamma=90.00
With the nearest neighbours (Å) after each atom.
Space group P2/m (No. 10)
One atom of each set of equivalent atoms:
Sc 0.0000 0.0000 0.0000  4 Mo 2.76, 2 Cr 2.76, 2 Sc 2.80
Cr 0.5000 0.0000 0.5000  4 Mo 2.64, 2 Sc 2.76, 2 Cr 2.80
Mo 0.2733 0.5000 0.7380  2 Cr 2.64, 4 Mo 2.70-2.83, 2 Sc 2.76

Results
ΔE_f   0.20 eV per atom
Calculated total energy   -0.338 Ha/atom
Calculated density   7.59 g cm⁻³



The following is a DFT calculation (PBE) of an optimized crystal structure of CoCuRh2.

Unit cell a=5.9637 b=5.9637 c=5.9637 alpha=90.00 beta=90.00 gamma=90.00
With the nearest neighbours (Å) after each atom.
Space group Fm-3m (No. 225)
One atom of each set of equivalent atoms:
Co 0.0000 0.0000 0.0000  8 Rh 2.58
Cu 0.0000 0.0000 0.5000  8 Rh 2.58
Rh 0.2500 0.2500 0.2500  4 Cu 2.58, 4 Co 2.58

Results
ΔE_f   0.13 eV per atom
Calculated total energy   -0.233 Ha/atom
Calculated density   10.28 g cm⁻³



The following is a DFT calculation (PBE) of an optimized crystal structure of MnReAs2.

Unit cell a=4.6704 b=3.2209 c=8.8081 alpha=90.00 beta=90.00 gamma=90.00
With the nearest neighbours (Å) after each atom.
Space group Amm2 (No. 38)
One atom of each set of equivalent atoms:
Mn 0.0000 0.0000 0.0000  5 As 2.41-2.62
Re 0.5000 0.0000 0.5777  5 As 2.43-2.59
As 0.0000 0.0000 0.7029  3 Mn 2.41-2.62, 2 Re 2.58
As 0.5000 0.0000 0.8712  3 Re 2.43-2.59, 2 Mn 2.60

Results
ΔE_f   0.07 eV per atom
Calculated total energy   -0.281 Ha/atom
Calculated density   9.80 g cm⁻³



The following is a DFT calculation (PBE) of an optimized crystal structure of La4PrDy2.

Unit cell a=7.0001 b=11.6788 c=12.2315 alpha=90.00 beta=90.00 gamma=90.00
With the nearest neighbours (Å) after each atom.
Space group Imma (No. 74)
One atom of each set of equivalent atoms:
La 0.0000 0.0024 0.1508  1 Dy 3.31, 2 Pr 3.64, 1 La 3.69
La 0.2185 0.2500 0.0074  1 La 3.06, 1 Pr 3.16, 1 Dy 3.23
Pr 0.2500 0.2500 0.7500  2 La 3.16, 2 Pr 3.50
Dy 0.0000 0.0000 0.5000  4 La 3.52, 2 Dy 3.94
Dy 0.0000 0.2500 0.2831  4 La 3.23-3.31, 2 Dy 3.59

Results
ΔE_f   0.22 eV per atom
Calculated total energy   -0.169 Ha/atom
Calculated density   6.79 g cm⁻³



Look up the calculated density of the tenth one.
10.28 g cm⁻³



What is the calculated total energy in the second record?
-0.305 Ha/atom



Which of these has the highest calculated total energy?
KLiHg2